#i
This record from Alexandria via LeMat-Bulk describes HfNb2TlRu after structural relaxation. The functional is GGA-PBE.

Summary:
M_tot, μB/f.u.: 1.346

a = 4.8708 Å, b = 5.3086 Å, c = 4.8708 Å
α = 90.00°, β = 90.00°, γ = 90.00°
Closest atoms and distances in Å follow each position.
Positions (direct):
Ru (0.5000, 0.5000, 0.5000)  4 Tl 3.44, 8 Nb 3.60
Tl (0.0000, 0.5000, 0.0000)  2 Hf 2.65
Hf (0.0000, 0.0000, 0.0000)  4 Nb 2.44, 2 Tl 2.65
Nb (0.0000, 0.0000, 0.5000)  2 Hf 2.44
Nb (0.5000, 0.0000, 0.0000)  2 Hf 2.44

***

#ii
This record from Alexandria via LeMat-Bulk describes HfNb2TlRu after structural relaxation. The functional is GGA-PBE.

Summary:
M_tot, μB/f.u.: 0.000

a = 4.9875 Å, b = 4.7264 Å, c = 4.9875 Å
α = 90.00°, β = 90.00°, γ = 90.00°
Closest atoms and distances in Å follow each position.
Positions (direct):
Ru (0.0000, 0.5000, 0.0000)  2 Hf 2.36
Tl (0.5000, 0.5000, 0.5000)  8 Nb 3.44, 4 Ru 3.53
Hf (0.0000, 0.0000, 0.0000)  2 Ru 2.36, 4 Nb 2.49
Nb (0.0000, 0.0000, 0.5000)  2 Hf 2.49
Nb (0.5000, 0.0000, 0.0000)  2 Hf 2.49

***

Energy above the most stable structure, in eV/atom: #i 0.529; #ii 0.000

***

#i
This record from Alexandria via LeMat-Bulk describes Hf2NbSb2 after structural relaxation. The functional is GGA-PBE.

Summary:
M_tot, μB/f.u.: 0.000

a = 7.4563 Å, b = 7.4563 Å, c = 3.8797 Å
α = 90.00°, β = 90.00°, γ = 90.00°
Closest atoms and distances in Å follow each position.
Positions (direct):
Sb (0.3522, 0.8522, 0.0000)  2 Nb 2.85, 6 Hf 2.85-2.97, 1 Sb 3.12
Sb (0.8522, 0.6478, 0.0000)  2 Nb 2.85, 6 Hf 2.85-2.97, 1 Sb 3.12
Sb (0.6478, 0.1478, 0.0000)  2 Nb 2.85, 6 Hf 2.85-2.97, 1 Sb 3.12
Sb (0.1478, 0.3522, 0.0000)  2 Nb 2.85, 6 Hf 2.85-2.97, 1 Sb 3.12
Nb (0.0000, 0.0000, 0.0000)  4 Sb 2.85
Nb (0.5000, 0.5000, 0.0000)  4 Sb 2.85
Hf (0.1535, 0.6535, 0.5000)  6 Sb 2.85-2.97
Hf (0.6535, 0.8465, 0.5000)  6 Sb 2.85-2.97
Hf (0.8465, 0.3465, 0.5000)  6 Sb 2.85-2.97
Hf (0.3465, 0.1535, 0.5000)  6 Sb 2.85-2.97

***

#ii
This record from Alexandria via LeMat-Bulk describes Hf2NbSb2 after structural relaxation. The functional is GGA-PBE.

Summary:
M_tot, μB/f.u.: 0.000

a = 3.8498 Å, b = 6.8527 Å, c = 8.8487 Å
α = 90.00°, β = 102.56°, γ = 90.00°
Closest atoms and distances in Å follow each position.
Positions (direct):
Hf (0.9781, 0.7942, 0.9562)  5 Sb 2.89-2.99, 4 Nb 3.06-3.16
Hf (0.8171, 0.3500, 0.6343)  5 Sb 2.90-3.11, 2 Nb 3.03
Hf (0.1829, 0.8500, 0.3657)  5 Sb 2.90-3.11, 2 Nb 3.03
Hf (0.0219, 0.2942, 0.0438)  5 Sb 2.89-2.99, 4 Nb 3.06-3.16
Nb (0.4030, 0.0856, 0.8060)  4 Sb 2.83-3.01, 6 Hf 3.03-3.16
Nb (0.5970, 0.5856, 0.1940)  4 Sb 2.83-3.01, 6 Hf 3.03-3.16
Sb (0.4257, 0.5077, 0.8513)  6 Hf 2.89-2.93, 2 Nb 2.92-3.01
Sb (0.8096, 0.8968, 0.6192)  2 Nb 2.83, 4 Hf 2.93-3.11
Sb (0.1904, 0.3968, 0.3808)  2 Nb 2.83, 4 Hf 2.93-3.11
Sb (0.5743, 0.0077, 0.1487)  6 Hf 2.89-2.93, 2 Nb 2.92-3.01

***

Energy above the most stable structure, in eV/atom: #i 0.029; #ii 0.000

***

#i
This record from Alexandria via LeMat-Bulk describes Hf2NbSbSe after structural relaxation. The functional is GGA-PBE.

Summary:
M_tot, μB/f.u.: 0.000

a = 5.2617 Å, b = 4.7162 Å, c = 5.2617 Å
α = 90.00°, β = 90.00°, γ = 90.00°
Closest atoms and distances in Å follow each position.
Positions (direct):
Sb (0.5000, 0.5000, 0.5000)  8 Hf 3.53, 4 Se 3.72
Nb (0.0000, 0.0000, 0.0000)  2 Se 2.36, 4 Hf 2.63
Hf (0.0000, 0.0000, 0.5000)  2 Nb 2.63
Hf (0.5000, 0.0000, 0.0000)  2 Nb 2.63
Se (0.0000, 0.5000, 0.0000)  2 Nb 2.36

***

#ii
This record from Alexandria via LeMat-Bulk describes Hf2NbSbSe after structural relaxation. The functional is GGA-PBE.

Summary:
M_tot, μB/f.u.: 0.000

a = 5.1501 Å, b = 5.1428 Å, c = 5.1501 Å
α = 90.00°, β = 90.00°, γ = 90.00°
Closest atoms and distances in Å follow each position.
Positions (direct):
Sb (0.0000, 0.5000, 0.0000)  2 Nb 2.57
Nb (0.0000, 0.0000, 0.0000)  2 Sb 2.57, 4 Hf 2.58
Hf (0.0000, 0.0000, 0.5000)  2 Nb 2.58
Hf (0.5000, 0.0000, 0.0000)  2 Nb 2.58
Se (0.5000, 0.5000, 0.5000)  8 Hf 3.64, 4 Sb 3.64

***

Energy above the most stable structure, in eV/atom: #i 0.000; #ii 0.170

***

#i
This record from Alexandria via LeMat-Bulk describes HfScNb2 after structural relaxation. The functional is GGA-PBE.

Summary:
M_tot, μB/f.u.: 0.000

a = 7.5415 Å, b = 7.5415 Å, c = 6.0840 Å
α = 51.70°, β = 51.70°, γ = 90.00°
Closest atoms and distances in Å follow each position.
Positions (direct):
Sc (0.5000, 0.5000, 0.0000)  4 Nb 2.75, 2 Hf 2.93
Sc (0.2500, 0.7500, 0.5000)  4 Nb 2.75, 2 Hf 2.93
Nb (0.6230, 0.1250, 0.2500)  2 Sc 2.75, 2 Hf 2.78, 2 Nb 2.93
Nb (0.1270, 0.6250, 0.2500)  2 Sc 2.75, 2 Hf 2.78, 2 Nb 2.93
Nb (0.3750, 0.3770, 0.7500)  2 Sc 2.75, 2 Hf 2.78, 2 Nb 2.93
Nb (0.8750, 0.8730, 0.7500)  2 Sc 2.75, 2 Hf 2.78, 2 Nb 2.93
Hf (0.0000, 0.0000, 0.0000)  4 Nb 2.78, 2 Sc 2.93
Hf (0.7500, 0.2500, 0.5000)  4 Nb 2.78, 2 Sc 2.93

***

#ii
This record from Alexandria via LeMat-Bulk describes HfScNb2 after structural relaxation. The functional is GGA-PBE.

Summary:
M_tot, μB/f.u.: 0.000

a = 3.6389 Å, b = 3.6389 Å, c = 6.2678 Å
α = 90.00°, β = 90.00°, γ = 90.00°
Closest atoms and distances in Å follow each position.
Positions (direct):
Sc (0.5000, 0.5000, 0.0000)  8 Nb 3.13, 2 Hf 3.13
Nb (0.0000, 0.0000, 0.7167)  1 Nb 2.72, 4 Hf 2.91
Nb (0.0000, 0.0000, 0.2833)  1 Nb 2.72, 4 Hf 2.91
Hf (0.5000, 0.5000, 0.5000)  8 Nb 2.91, 2 Sc 3.13

***

Energy above the most stable structure, in eV/atom: #i 0.471; #ii 0.000